[1]
Al3OsCl | SCAN | single point on PBEsol structure

Structure (CIF):
```
data_Al3OsCl
_space_group_name_H-M_alt 'P 1'
_space_group_IT_number 1
_cell_length_a 4.760
_cell_length_b 4.760
_cell_length_c 4.760
_cell_angle_alpha 90.00
_cell_angle_beta 90.00
_cell_angle_gamma 90.00
loop_
_space_group_symop_operation_xyz
'x,y,z'
loop_
_atom_site_label
_atom_site_fract_x
_atom_site_fract_y
_atom_site_fract_z
_atom_site_occupancy
Al1 0.000 0.000 0.500 1
Al2 0.000 0.500 0.000 1
Al3 0.500 0.000 0.000 1
Os1 0.000 0.000 0.000 1
Cl1 0.500 0.500 0.500 1
```

Values from the calculation:
E_form (uncorrected) = -172 meV per atom
Space group = Pm-3m

[2]
TlCuBr | SCAN | single point on PBEsol structure

Structure (CIF):
```
data_TlCuBr
_space_group_name_H-M_alt 'P 1'
_space_group_IT_number 1
_cell_length_a 3.769
_cell_length_b 3.769
_cell_length_c 5.631
_cell_angle_alpha 90.00
_cell_angle_beta 90.00
_cell_angle_gamma 120.00
loop_
_space_group_symop_operation_xyz
'x,y,z'
loop_
_atom_site_label
_atom_site_fract_x
_atom_site_fract_y
_atom_site_fract_z
_atom_site_occupancy
Tl1 0.000 0.000 0.000 1
Cu1 0.333 0.667 0.297 1
Br1 0.667 0.333 0.518 1
```

Values from the calculation:
E_form (uncorrected) = -146 meV per atom
Space group = P3m1

[3]
Ca3ReCl | SCAN | single point on PBEsol structure

Structure (CIF):
```
data_Ca3ReCl
_space_group_name_H-M_alt 'P 1'
_space_group_IT_number 1
_cell_length_a 5.095
_cell_length_b 5.095
_cell_length_c 5.095
_cell_angle_alpha 90.00
_cell_angle_beta 90.00
_cell_angle_gamma 90.00
loop_
_space_group_symop_operation_xyz
'x,y,z'
loop_
_atom_site_label
_atom_site_fract_x
_atom_site_fract_y
_atom_site_fract_z
_atom_site_occupancy
Ca1 0.000 0.000 0.500 1
Ca2 0.000 0.500 0.000 1
Ca3 0.500 0.000 0.000 1
Re1 0.500 0.500 0.500 1
Cl1 0.000 0.000 0.000 1
```

Values from the calculation:
E_form (uncorrected) = 299 meV per atom
Space group = Pm-3m

[4]
Y2CoNi | SCAN | single point on PBEsol structure

Structure (CIF):
```
data_Y2CoNi
_space_group_name_H-M_alt 'P 1'
_space_group_IT_number 1
_cell_length_a 3.846
_cell_length_b 5.512
_cell_length_c 5.512
_cell_angle_alpha 40.76
_cell_angle_beta 90.00
_cell_angle_gamma 90.00
loop_
_space_group_symop_operation_xyz
'x,y,z'
loop_
_atom_site_label
_atom_site_fract_x
_atom_site_fract_y
_atom_site_fract_z
_atom_site_occupancy
Y1 0.000 0.000 0.000 1
Y2 0.500 0.285 0.285 1
Co1 0.000 0.711 0.711 1
Ni1 0.500 0.577 0.577 1
```

Values from the calculation:
Formation energy from the elements = -1.0 eV/f.u.
Space group = Amm2

[5]
LiLuHg2 | SCAN | single point on PBEsol structure

Structure (CIF):
```
data_LiLuHg2
_space_group_name_H-M_alt 'P 1'
_space_group_IT_number 1
_cell_length_a 4.864
_cell_length_b 4.864
_cell_length_c 4.864
_cell_angle_alpha 60.00
_cell_angle_beta 60.00
_cell_angle_gamma 60.00
loop_
_space_group_symop_operation_xyz
'x,y,z'
loop_
_atom_site_label
_atom_site_fract_x
_atom_site_fract_y
_atom_site_fract_z
_atom_site_occupancy
Li1 0.000 0.000 0.000 1
Lu1 0.500 0.500 0.500 1
Hg1 0.250 0.250 0.250 1
Hg2 0.750 0.750 0.750 1
```

Values from the calculation:
Formation energy from the elements = -2.3 eV/f.u.
Space group = Fm-3m

[6]
BaSc2Ge2 | SCAN | single point on PBEsol structure

Structure (CIF):
```
data_BaSc2Ge2
_space_group_name_H-M_alt 'P 1'
_space_group_IT_number 1
_cell_length_a 6.886
_cell_length_b 6.886
_cell_length_c 6.886
_cell_angle_alpha 140.82
_cell_angle_beta 140.82
_cell_angle_gamma 56.61
loop_
_space_group_symop_operation_xyz
'x,y,z'
loop_
_atom_site_label
_atom_site_fract_x
_atom_site_fract_y
_atom_site_fract_z
_atom_site_occupancy
Ba1 0.000 0.000 0.000 1
Sc1 0.250 0.750 0.500 1
Sc2 0.750 0.250 0.500 1
Ge1 0.374 0.374 0.000 1
Ge2 0.626 0.626 0.000 1
```

Values from the calculation:
Formation energy from the elements = -3.5 eV/f.u.
Space group = I4/mmm

Values of D(E_F), in order: 0.327; 0.205; 1.614; 0.639; 0.509; 0.134, all in states/eV per atom.